This record from the Alexandria database describes an optimized crystal structure of BaCaH8Pt2. The functional is PBE-GGA.

Computed properties:
- Final energy: -45.15 eV/cell
- D(E_F): 0.339 states/eV/atom
- SG: No. 164

```
BaCaH8Pt2
1.0
4.400 0.000 0.000
-2.200 3.811 0.000
0.000 0.000 9.345
Ba Ca H Pt
1 1 8 2
direct
0.000 0.000 0.000
0.000 0.000 0.500
0.333 0.667 0.911
0.487 0.513 0.371
0.487 0.974 0.371
0.667 0.333 0.089
0.513 0.026 0.629
0.513 0.487 0.629
0.974 0.487 0.629
0.026 0.513 0.371
0.667 0.333 0.274
0.333 0.667 0.726
```


This record from the Alexandria database describes an optimized crystal structure of Zn3Cu3Ir. The functional is PBE-GGA.

Computed properties:
- Energy of formation: 269 meV/atom
- Excess energy over the best structure of this formula in the dataset: 232 meV per atom
- D(E_F): 0.516 states/eV/atom
- SG: No. 176

```
Zn3Cu3Ir
1.0
2.556 0.000 0.000
0.000 -9.876 0.000
0.000 4.938 -8.553
Zn Cu Ir
6 6 2
direct
0.750 0.364 0.427
0.750 0.064 0.636
0.250 0.427 0.064
0.750 0.573 0.936
0.250 0.936 0.364
0.250 0.636 0.573
0.750 0.075 0.246
0.750 0.171 0.925
0.250 0.246 0.171
0.750 0.754 0.829
0.250 0.829 0.075
0.250 0.925 0.754
0.250 0.667 0.333
0.750 0.333 0.667
```


This record from the Alexandria database describes an optimized crystal structure of Li2AcSnS4. The functional is PBE-GGA.

Computed properties:
- Formation energy without anion corrections: -1.2110 eV/atom
- D(E_F): 0.236 states/eV/atom
- SG: No. 15

```
Li2AcSnS4
1.0
-0.134 -7.953 -0.713
4.406 -0.789 6.614
-7.015 4.448 -0.003
Li Ac Sn S
4 2 2 8
direct
0.500 0.000 0.000
0.500 0.000 0.500
0.000 0.000 0.500
0.500 0.500 0.000
0.000 0.500 0.000
0.000 0.500 0.500
0.500 0.500 0.500
0.000 0.000 0.000
0.266 0.767 0.016
0.733 0.234 0.484
0.267 0.766 0.516
0.734 0.233 0.984
0.736 0.762 0.989
0.738 0.764 0.511
0.262 0.236 0.489
0.264 0.238 0.011
```


This record from the Alexandria database describes an optimized crystal structure of NiRuSe2. The functional is PBE-GGA.

Computed properties:
- Formation energy without anion corrections: 0.3202 eV/atom
- Excess energy over the best structure of this formula in the dataset: 513 meV per atom
- D(E_F): 1.298 states/eV/atom
- SG: No. 10

```
NiRuSe2
1.0
-2.091 -1.647 -1.781
0.036 -3.357 3.061
-3.504 1.023 3.167
Ni Ru Se
1 1 2
direct
0.500 0.250 0.250
0.500 0.750 0.750
0.000 0.986 0.019
0.000 0.514 0.481
```